#P
NbFeTe2I after structural relaxation, computed with PBE-GGA.

## Properties
space group = No. 123

abc: 5.410 5.410 5.669
angles: 90.00 90.00 90.00
Element x y z (fractional)
Nb: 0.000 0.000 0.000
Fe: 0.500 0.500 0.500
Te: 0.000 0.500 0.000
Te: 0.500 0.000 0.000
I: 0.000 0.000 0.500

#Q
NbFeTe2I after structural relaxation, computed with PBE-GGA.

## Properties
space group = No. 123

abc: 4.951 4.951 5.027
angles: 90.00 90.00 90.00
Element x y z (fractional)
Nb: 0.000 0.000 0.000
Fe: 0.500 0.500 0.500
Te: 0.000 0.500 0.500
Te: 0.500 0.000 0.500
I: 0.500 0.500 0.000

According to the calculations, the structures order from most to least stable as #P, #Q.